Entry from Alexandria via LeMat-Bulk: an optimized crystal structure of Li2MnCoO4 (PBE with a Hubbard U).

Cell and atoms, written as extended XYZ:
```
16
Lattice="3.046 0.013 0.000 -0.629 5.997 -0.007 -0.186 -0.098 8.121" Properties=species:S:1:pos:R:3 pbc="T T T"
Li 1.895 2.162 7.130
Li 0.337 3.751 0.984
Li 0.572 0.687 5.103
Li 1.660 5.225 3.011
Mn 1.989 2.199 3.024
Mn 0.242 3.714 5.090
Co 0.674 0.721 1.000
Co 1.558 5.192 7.114
O 0.266 3.759 7.044
O 1.966 2.154 1.070
O 1.784 5.325 0.898
O 0.448 0.588 7.216
O 2.018 2.238 4.997
O 0.214 3.675 3.117
O 0.700 0.736 2.925
O 1.532 5.177 5.189
```

Calculated values
- symmetry = P-1 (2)
- DFT total energy (eV for the cell shown) = -97.7